1.
The following is a DFT calculation (GGA-PBEsol) of a geometry-optimized Mg2AgH structure.

* electronic total energy: -2.273 eV per atom
* space-group type: Fm-3m, No. 225
* mass density: 4.01 Mg/m³

extended XYZ file:
```
4
Lattice="0.000 3.194 3.194 3.194 0.000 3.194 3.194 3.194 0.000" Properties=species:S:1:pos:R:3 pbc="T T T"
Mg 1.597 1.597 1.597
Mg 4.791 4.791 4.791
Ag 0.000 0.000 0.000
H 3.194 3.194 3.194
```


2.
The following is a DFT calculation (GGA-PBEsol) of a geometry-optimized MgAgHPt2 structure.

* electronic total energy: -4.803 eV per atom
* space-group type: P4/mmm, No. 123
* mass density: 13.35 Mg/m³

extended XYZ file:
```
5
Lattice="3.994 0.000 0.000 0.000 3.994 0.000 0.000 0.000 4.082" Properties=species:S:1:pos:R:3 pbc="T T T"
Mg 0.000 0.000 0.000
Ag 1.997 1.997 0.000
H 1.997 1.997 2.041
Pt 0.000 1.997 2.041
Pt 1.997 0.000 2.041
```


3.
The following is a DFT calculation (GGA-PBEsol) of a geometry-optimized SrAg2MoH structure.

* electronic total energy: -3.318 eV per atom
* space-group type: P4/mmm, No. 123
* mass density: 5.81 Mg/m³

extended XYZ file:
```
5
Lattice="5.446 0.000 0.000 0.000 5.446 0.000 0.000 0.000 3.861" Properties=species:S:1:pos:R:3 pbc="T T T"
Sr 0.000 0.000 0.000
Ag 0.000 2.723 0.000
Ag 2.723 0.000 0.000
Mo 2.723 2.723 1.931
H 0.000 0.000 1.931
```


4.
The following is a DFT calculation (GGA-PBEsol) of a geometry-optimized Ag2HN structure.

* electronic total energy: -3.687 eV per atom
* space-group type: I-42d, No. 122
* mass density: 7.83 Mg/m³

extended XYZ file:
```
8
Lattice="-2.354 2.354 4.417 2.354 -2.354 4.417 2.354 2.354 -4.417" Properties=species:S:1:pos:R:3 pbc="T T T"
Ag 3.531 0.978 -1.104
Ag 0.978 1.177 1.104
Ag -1.177 1.376 3.313
Ag 1.376 1.177 5.522
H 0.000 0.000 0.000
H 0.000 2.354 2.209
N 2.354 0.000 2.209
N 0.000 0.000 4.417
```


5.
The following is a DFT calculation (GGA-PBEsol) of a geometry-optimized AgH2SNO3 structure.

* electronic total energy: -5.568 eV per atom
* space-group type: Pbca, No. 61
* mass density: 3.74 Mg/m³

extended XYZ file:
```
64
Lattice="7.397 0.000 0.000 0.000 11.860 0.000 0.000 0.000 8.260" Properties=species:S:1:pos:R:3 pbc="T T T"
Ag 0.862 1.246 2.004
Ag 0.862 4.684 6.134
Ag 2.837 7.176 2.004
Ag 2.837 10.614 6.134
Ag 4.560 1.246 2.126
Ag 4.560 4.684 6.256
Ag 6.535 7.176 2.126
Ag 6.535 10.614 6.256
H 0.011 7.110 7.145
H 0.011 10.680 3.015
H 1.723 7.082 7.159
H 1.723 10.708 3.029
H 1.976 1.152 7.159
H 1.976 4.778 3.029
H 3.687 1.180 7.145
H 3.687 4.750 3.015
H 3.710 7.110 5.246
H 3.710 10.680 1.115
H 5.421 7.082 5.231
H 5.421 10.708 1.101
H 5.674 1.152 5.231
H 5.674 4.778 1.101
H 7.385 1.180 5.246
H 7.385 4.750 1.115
S 0.904 7.818 5.215
S 0.904 9.972 1.085
S 2.794 1.888 5.215
S 2.794 4.042 1.085
S 4.603 7.818 7.176
S 4.603 9.972 3.045
S 6.493 1.888 7.176
S 6.493 4.042 3.045
N 0.869 6.866 6.598
N 0.869 10.924 2.468
N 2.829 0.936 6.598
N 2.829 4.994 2.468
N 4.568 6.866 5.792
N 4.568 10.924 1.662
N 6.528 0.936 5.792
N 6.528 4.994 1.662
O 0.349 1.588 7.865
O 0.349 4.342 3.735
O 0.972 8.555 1.514
O 0.972 9.235 5.644
O 1.589 1.470 4.506
O 1.589 4.460 0.376
O 2.109 7.400 4.506
O 2.109 10.390 0.376
O 2.726 2.625 1.514
O 2.726 3.305 5.644
O 3.350 7.518 7.865
O 3.350 10.272 3.735
O 4.047 1.588 4.526
O 4.047 4.342 0.396
O 4.670 8.555 2.616
O 4.670 9.235 6.746
O 5.288 1.470 7.884
O 5.288 4.460 3.754
O 5.808 7.400 7.884
O 5.808 10.390 3.754
O 6.425 2.625 2.616
O 6.425 3.305 6.746
O 7.048 7.518 4.526
O 7.048 10.272 0.396
```


6.
The following is a DFT calculation (GGA-PBEsol) of a geometry-optimized NaNiAg2H structure.

* electronic total energy: -3.151 eV per atom
* space-group type: P4/mmm, No. 123
* mass density: 6.46 Mg/m³

extended XYZ file:
```
5
Lattice="5.077 0.000 0.000 0.000 5.077 0.000 0.000 0.000 2.975" Properties=species:S:1:pos:R:3 pbc="T T T"
Na 0.000 0.000 0.000
Ni 2.539 2.539 1.488
Ag 0.000 2.539 1.488
Ag 2.539 0.000 1.488
H 2.539 2.539 0.000
```


Which of these has the highest electronic total energy? Mg2AgH


What is the electronic total energy in the second record? -4.803 eV per atom